1.
Computed, not measured: a geometry-optimized Sc3W2 structure at the PBE level of DFT.

Output
* formation energy from the elements: 393.9 meV/atom
* magnetization: 0.0 Bohr magnetons per cell

Lattice parameters (Å, degrees): 12.581 12.581 12.581 13.74 13.74 13.74
Fractional coordinates of all 5 atoms:
Sc: 0.000 0.000 0.000
Sc: 0.794 0.794 0.794
Sc: 0.206 0.206 0.206
W: 0.602 0.602 0.602
W: 0.398 0.398 0.398

---

2.
Computed, not measured: a geometry-optimized Sc2W structure at the PBE level of DFT.

Output
* formation energy from the elements: 245.7 meV/atom
* magnetization: 0.0 Bohr magnetons per cell

Lattice parameters (Å, degrees): 7.561 7.561 7.561 157.93 157.93 31.41
Fractional coordinates of all 3 atoms:
Sc: 0.985 0.985 0.000
Sc: 0.682 0.682 0.000
W: 0.333 0.333 0.000

---

3.
Computed, not measured: a geometry-optimized ScW2 structure at the PBE level of DFT.

Output
* formation energy from the elements: 1756.8 meV/atom
* magnetization: 0.0 Bohr magnetons per cell

Lattice parameters (Å, degrees): 4.845 4.845 2.669 90.00 90.00 90.00
Fractional coordinates of all 3 atoms:
Sc: 0.000 0.000 0.000
W: 0.000 0.500 0.500
W: 0.500 0.000 0.500

---

4.
Computed, not measured: a geometry-optimized Sc5W structure at the PBE level of DFT.

Output
* formation energy from the elements: 165.0 meV/atom
* magnetization: 0.0 Bohr magnetons per cell

Lattice parameters (Å, degrees): 6.084 6.084 7.442 77.02 77.02 29.60
Fractional coordinates of all 6 atoms:
Sc: 0.995 0.995 0.991
Sc: 0.619 0.619 0.261
Sc: 0.336 0.336 0.315
Sc: 0.931 0.931 0.632
Sc: 0.675 0.675 0.680
W: 0.276 0.276 0.955

---

5.
Computed, not measured: a geometry-optimized ScW3 structure at the PBE level of DFT.

Output
* formation energy from the elements: 157.2 meV/atom
* magnetization: 0.0 Bohr magnetons per cell

Lattice parameters (Å, degrees): 2.783 4.571 5.409 90.00 80.16 90.00
Fractional coordinates of all 4 atoms:
Sc: 0.000 0.000 0.000
W: 0.726 0.500 0.747
W: 0.500 0.000 0.500
W: 0.274 0.500 0.253

---

6.
Computed, not measured: a geometry-optimized Sc3W5 structure at the PBE level of DFT.

Output
* formation energy from the elements: 492.4 meV/atom
* magnetization: 0.0 Bohr magnetons per cell

Lattice parameters (Å, degrees): 8.214 8.214 4.949 90.00 90.00 73.11
Fractional coordinates of all 16 atoms:
Sc: 0.644 0.356 0.750
Sc: 0.356 0.644 0.250
Sc: 0.423 0.954 0.750
Sc: 0.954 0.423 0.250
Sc: 0.577 0.046 0.250
Sc: 0.046 0.577 0.750
W: 0.884 0.116 0.250
W: 0.116 0.884 0.750
W: 0.200 0.039 0.250
W: 0.039 0.200 0.750
W: 0.696 0.696 0.000
W: 0.696 0.696 0.500
W: 0.304 0.304 0.000
W: 0.304 0.304 0.500
W: 0.800 0.961 0.750
W: 0.962 0.800 0.250

---

7.
Computed, not measured: a geometry-optimized Sc4W structure at the PBE level of DFT.

Output
* formation energy from the elements: 556.2 meV/atom
* magnetization: 0.0 Bohr magnetons per cell

Lattice parameters (Å, degrees): 5.089 5.089 5.089 90.00 90.00 90.00
Fractional coordinates of all 5 atoms:
Sc: 0.000 0.000 0.000
Sc: 0.500 0.000 0.500
Sc: 0.000 0.500 0.500
Sc: 0.500 0.500 0.000
W: 0.500 0.500 0.500

---

8.
Computed, not measured: a geometry-optimized Sc2W3 structure at the PBE level of DFT.

Output
* formation energy from the elements: 1205.5 meV/atom
* magnetization: 0.0 Bohr magnetons per cell

Lattice parameters (Å, degrees): 4.405 4.405 5.904 90.00 90.00 120.00
Fractional coordinates of all 5 atoms:
Sc: 0.667 0.333 0.141
Sc: 0.333 0.667 0.859
W: 0.000 0.000 0.000
W: 0.667 0.333 0.599
W: 0.333 0.667 0.401

---

9.
Computed, not measured: a geometry-optimized Sc3W structure at the PBE level of DFT.

Output
* formation energy from the elements: 245.4 meV/atom
* magnetization: 0.0 Bohr magnetons per cell

Lattice parameters (Å, degrees): 4.356 4.356 4.356 90.00 90.00 90.00
Fractional coordinates of all 4 atoms:
Sc: 0.000 0.000 0.000
Sc: 0.000 0.500 0.500
Sc: 0.500 0.000 0.500
W: 0.500 0.500 0.000

---

10.
Computed, not measured: a geometry-optimized Sc3W structure at the PBE level of DFT.

Output
* formation energy from the elements: 256.8 meV/atom
* magnetization: 0.0 Bohr magnetons per cell

Lattice parameters (Å, degrees): 2.986 5.221 5.585 96.10 90.00 73.38
Fractional coordinates of all 4 atoms:
Sc: 0.990 0.019 0.020
Sc: 0.510 0.981 0.480
Sc: 0.750 0.500 0.750
W: 0.250 0.500 0.250

---

11.
Computed, not measured: a geometry-optimized ScW structure at the PBE level of DFT.

Output
* formation energy from the elements: 91.7 meV/atom
* magnetization: 0.0 Bohr magnetons per cell

Lattice parameters (Å, degrees): 3.236 3.236 7.563 90.00 90.00 90.00
Fractional coordinates of all 4 atoms:
Sc: 0.000 0.000 0.953
Sc: 0.500 0.500 0.297
W: 0.000 0.000 0.531
W: 0.500 0.500 0.719

---

12.
Computed, not measured: a geometry-optimized ScW2 structure at the PBE level of DFT.

Output
* formation energy from the elements: 2172.9 meV/atom
* magnetization: 0.0 Bohr magnetons per cell

Lattice parameters (Å, degrees): 6.227 6.227 6.227 90.00 90.00 90.00
Fractional coordinates of all 12 atoms:
Sc: 0.000 0.000 0.000
Sc: 0.000 0.500 0.500
Sc: 0.500 0.000 0.500
Sc: 0.500 0.500 0.000
W: 0.119 0.619 0.881
W: 0.119 0.881 0.381
W: 0.381 0.119 0.881
W: 0.381 0.381 0.381
W: 0.619 0.619 0.619
W: 0.619 0.881 0.119
W: 0.881 0.119 0.619
W: 0.881 0.381 0.119

---

13.
Computed, not measured: a geometry-optimized Sc3W2 structure at the PBE level of DFT.

Output
* formation energy from the elements: 500.8 meV/atom
* magnetization: 0.0 Bohr magnetons per cell

Lattice parameters (Å, degrees): 4.694 4.694 5.774 90.00 90.00 120.00
Fractional coordinates of all 5 atoms:
Sc: 0.000 0.000 0.000
Sc: 0.667 0.333 0.631
Sc: 0.333 0.667 0.369
W: 0.667 0.333 0.087
W: 0.333 0.667 0.913

---

14.
Computed, not measured: a geometry-optimized ScW structure at the PBE level of DFT.

Output
* formation energy from the elements: 370.0 meV/atom
* magnetization: 0.0 Bohr magnetons per cell

Lattice parameters (Å, degrees): 5.807 5.807 7.208 79.73 79.73 27.76
Fractional coordinates of all 6 atoms:
Sc: 0.005 0.005 0.977
Sc: 0.609 0.609 0.294
Sc: 0.676 0.676 0.650
W: 0.348 0.348 0.307
W: 0.928 0.928 0.628
W: 0.268 0.268 0.976